This record from the Alexandria database describes a relaxed structure of Cs2NaCuP. The functional is PBE-GGA.

Its energy above the most stable polymorph in this dataset is 0 meV/atom. Its total moment is 0.0 μB/f.u. The energy relative to the elements is -40 meV/atom.

The space group is P4/mmm (No. 123) and the conventional cell measures 7.1184, 7.1184 and 4.2778 Å, with angles of 90.00, 90.00 and 90.00 degrees. The distinct sites, in fractional coordinates, are Cs at (0.0000, 0.5000, 0.0000), Na at (0.0000, 0.0000, 0.5000), Cu at (0.5000, 0.5000, 0.0000) and P at (0.5000, 0.5000, 0.5000).